Entry 1:
# CuBSb3

Crystalline CuBSb3 at its relaxed geometry (PBE-GGA, Alexandria).

Calculated values
- Formation energy without anion corrections: 1.31 eV per atom
- E above lowest polymorph: 397 meV per atom

```
data_CuBSb3
_symmetry_space_group_name_H-M 'P m -3 m'
_symmetry_Int_Tables_number 221
_symmetry_space_group_name_Hall '-P 4 2 3'
_cell_length_a 5.0534
_cell_length_b 5.0534
_cell_length_c 5.0534
_cell_angle_alpha 90.00
_cell_angle_beta 90.00
_cell_angle_gamma 90.00
loop_
_atom_site_label
_atom_site_fract_x
_atom_site_fract_y
_atom_site_fract_z
_atom_site_occupancy
Cu1 0.0000 0.0000 0.0000 1
B1 0.5000 0.5000 0.5000 1
Sb1 0.0000 0.0000 0.5000 1
```

=====

Entry 2:
# HoEr2S

Crystalline HoEr2S at its relaxed geometry (PBE-GGA, Alexandria).

Calculated values
- Formation energy without anion corrections: -0.70 eV per atom

```
data_HoEr2S
_symmetry_space_group_name_H-M 'R -3 m'
_symmetry_Int_Tables_number 166
_symmetry_space_group_name_Hall '-R 3 2"'
_cell_length_a 3.6094
_cell_length_b 3.6094
_cell_length_c 29.9164
_cell_angle_alpha 90.00
_cell_angle_beta 90.00
_cell_angle_gamma 120.00
loop_
_atom_site_label
_atom_site_fract_x
_atom_site_fract_y
_atom_site_fract_z
_atom_site_occupancy
Ho1 0.0000 0.0000 0.0000 1
Er1 0.0000 0.0000 0.1117 1
S1 0.0000 0.0000 0.5000 1
```

=====

Entry 3:
# Nd3Sn2Hg

Crystalline Nd3Sn2Hg at its relaxed geometry (PBE-GGA, Alexandria).

Calculated values
- E above lowest polymorph: 0 meV per atom

```
data_Nd3Sn2Hg
_symmetry_space_group_name_H-M 'P n m a'
_symmetry_Int_Tables_number 62
_symmetry_space_group_name_Hall '-P 2ac 2n'
_cell_length_a 12.7027
_cell_length_b 4.7359
_cell_length_c 12.0715
_cell_angle_alpha 90.00
_cell_angle_beta 90.00
_cell_angle_gamma 90.00
loop_
_atom_site_label
_atom_site_fract_x
_atom_site_fract_y
_atom_site_fract_z
_atom_site_occupancy
Nd1 0.0418 0.2500 0.1237 1
Nd2 0.1328 0.7500 0.5692 1
Nd3 0.2060 0.2500 0.8123 1
Sn1 0.0090 0.7500 0.3209 1
Sn2 0.1845 0.7500 0.0247 1
Hg1 0.1452 0.2500 0.3556 1
```

=====

Entry 4:
# SiSbP

Crystalline SiSbP at its relaxed geometry (PBE-GGA, Alexandria).

Calculated values
- Formation energy without anion corrections: 0.62 eV per atom
- E above lowest polymorph: 544 meV per atom

```
data_SiSbP
_symmetry_space_group_name_H-M 'F -4 3 m'
_symmetry_Int_Tables_number 216
_symmetry_space_group_name_Hall 'F -4 2 3'
_cell_length_a 6.3738
_cell_length_b 6.3738
_cell_length_c 6.3738
_cell_angle_alpha 90.00
_cell_angle_beta 90.00
_cell_angle_gamma 90.00
loop_
_atom_site_label
_atom_site_fract_x
_atom_site_fract_y
_atom_site_fract_z
_atom_site_occupancy
Si1 0.0000 0.0000 0.0000 1
Sb1 0.2500 0.2500 0.7500 1
P1 0.2500 0.2500 0.2500 1
```

=====

Entry 5:
# Ac2SmIn4

Crystalline Ac2SmIn4 at its relaxed geometry (PBE-GGA, Alexandria).

```
data_Ac2SmIn4
_symmetry_space_group_name_H-M 'I 4/m m m'
_symmetry_Int_Tables_number 139
_symmetry_space_group_name_Hall '-I 4 2'
_cell_length_a 5.6297
_cell_length_b 5.6297
_cell_length_c 15.0048
_cell_angle_alpha 90.00
_cell_angle_beta 90.00
_cell_angle_gamma 90.00
loop_
_atom_site_label
_atom_site_fract_x
_atom_site_fract_y
_atom_site_fract_z
_atom_site_occupancy
Ac1 0.0000 0.0000 0.2424 1
Sm1 0.0000 0.0000 0.5000 1
In1 0.0000 0.5000 0.1041 1
```

=====

Entry 6:
# NaBiBr2

Crystalline NaBiBr2 at its relaxed geometry (PBE-GGA, Alexandria).

Calculated values
- Formation energy without anion corrections: -0.57 eV per atom
- E above lowest polymorph: 290 meV per atom

```
data_NaBiBr2
_symmetry_space_group_name_H-M 'I -4 2 d'
_symmetry_Int_Tables_number 122
_symmetry_space_group_name_Hall 'I -4 2bw'
_cell_length_a 8.1580
_cell_length_b 8.1580
_cell_length_c 7.5012
_cell_angle_alpha 90.00
_cell_angle_beta 90.00
_cell_angle_gamma 90.00
loop_
_atom_site_label
_atom_site_fract_x
_atom_site_fract_y
_atom_site_fract_z
_atom_site_occupancy
Na1 0.0000 0.0000 0.0000 1
Bi1 0.0000 0.0000 0.5000 1
Br1 0.2419 0.2500 0.1250 1
```

=====

Entry 7:
# Ba2Cd

Crystalline Ba2Cd at its relaxed geometry (PBE-GGA, Alexandria).

```
data_Ba2Cd
_symmetry_space_group_name_H-M 'C 1 2/m 1'
_symmetry_Int_Tables_number 12
_symmetry_space_group_name_Hall '-C 2y'
_cell_length_a 15.7291
_cell_length_b 4.4979
_cell_length_c 10.2159
_cell_angle_alpha 90.00
_cell_angle_beta 125.12
_cell_angle_gamma 90.00
loop_
_atom_site_label
_atom_site_fract_x
_atom_site_fract_y
_atom_site_fract_z
_atom_site_occupancy
Ba1 0.0903 0.0000 0.3931 1
Ba2 0.1651 0.5000 0.0722 1
Cd1 0.1194 0.5000 0.6839 1
```

=====

Entry 8:
# Ag7Pd2

Crystalline Ag7Pd2 at its relaxed geometry (PBE-GGA, Alexandria).

Calculated values
- E above lowest polymorph: 0 meV per atom

```
data_Ag7Pd2
_symmetry_space_group_name_H-M 'P -3 1 m'
_symmetry_Int_Tables_number 162
_symmetry_space_group_name_Hall '-P 3 2'
_cell_length_a 5.0290
_cell_length_b 5.0290
_cell_length_c 7.0978
_cell_angle_alpha 90.00
_cell_angle_beta 90.00
_cell_angle_gamma 120.00
loop_
_atom_site_label
_atom_site_fract_x
_atom_site_fract_y
_atom_site_fract_z
_atom_site_occupancy
Ag1 0.0000 0.0000 0.0000 1
Ag2 0.0000 0.3354 0.6698 1
Pd1 0.3333 0.6667 0.0000 1
```

=====

Entry 9:
# BaNa2Hg

Crystalline BaNa2Hg at its relaxed geometry (PBE-GGA, Alexandria).

```
data_BaNa2Hg
_symmetry_space_group_name_H-M 'P 4/m m m'
_symmetry_Int_Tables_number 123
_symmetry_space_group_name_Hall '-P 4 2'
_cell_length_a 5.0217
_cell_length_b 5.0217
_cell_length_c 6.0847
_cell_angle_alpha 90.00
_cell_angle_beta 90.00
_cell_angle_gamma 90.00
loop_
_atom_site_label
_atom_site_fract_x
_atom_site_fract_y
_atom_site_fract_z
_atom_site_occupancy
Ba1 0.0000 0.0000 0.0000 1
Na1 0.0000 0.5000 0.5000 1
Hg1 0.5000 0.5000 0.0000 1
```

=====

Entry 10:
# Nd6ErCd2

Crystalline Nd6ErCd2 at its relaxed geometry (PBE-GGA, Alexandria).

Calculated values
- E above lowest polymorph: 0 meV per atom

```
data_Nd6ErCd2
_symmetry_space_group_name_H-M 'C 1 2/m 1'
_symmetry_Int_Tables_number 12
_symmetry_space_group_name_Hall '-C 2y'
_cell_length_a 12.9806
_cell_length_b 3.8270
_cell_length_c 12.2136
_cell_angle_alpha 90.00
_cell_angle_beta 108.93
_cell_angle_gamma 90.00
loop_
_atom_site_label
_atom_site_fract_x
_atom_site_fract_y
_atom_site_fract_z
_atom_site_occupancy
Nd1 0.0205 0.0000 0.3360 1
Nd2 0.1843 0.5000 0.8773 1
Nd3 0.1896 0.5000 0.5894 1
Er1 0.0000 0.0000 0.0000 1
Cd1 0.1410 0.5000 0.1963 1
```

=====

Entry 11:
# GeIN2

Crystalline GeIN2 at its relaxed geometry (PBE-GGA, Alexandria).

Calculated values
- Formation energy without anion corrections: 1.04 eV per atom
- E above lowest polymorph: 228 meV per atom

```
data_GeIN2
_symmetry_space_group_name_H-M 'I -4 2 d'
_symmetry_Int_Tables_number 122
_symmetry_space_group_name_Hall 'I -4 2bw'
_cell_length_a 5.3986
_cell_length_b 5.3986
_cell_length_c 8.7177
_cell_angle_alpha 90.00
_cell_angle_beta 90.00
_cell_angle_gamma 90.00
loop_
_atom_site_label
_atom_site_fract_x
_atom_site_fract_y
_atom_site_fract_z
_atom_site_occupancy
Ge1 0.0000 0.0000 0.0000 1
I1 0.0000 0.0000 0.5000 1
N1 0.1374 0.2500 0.1250 1
```

=====

Number 1: calculated total energy -16.61 eV/f.u., Fermi-level density of states 2.7 states/eV/f.u.. Number 2: calculated total energy -20.64 eV/f.u., Fermi-level density of states 4.2 states/eV/f.u.. Number 3: calculated total energy -26.35 eV/f.u., Fermi-level density of states 5.5 states/eV/f.u.. Number 4: calculated total energy -13.09 eV/f.u., Fermi-level density of states 2.1 states/eV/f.u.. Number 5: calculated total energy -25.88 eV/f.u., Fermi-level density of states 6.8 states/eV/f.u.. Number 6: calculated total energy -10.84 eV/f.u., Fermi-level density of states 1.1 states/eV/f.u.. Number 7: calculated total energy -5.33 eV/f.u., Fermi-level density of states 3.1 states/eV/f.u.. Number 8: calculated total energy -30.52 eV/f.u., Fermi-level density of states 1.4 states/eV/f.u.. Number 9: calculated total energy -5.48 eV/f.u., Fermi-level density of states 3.1 states/eV/f.u.. Number 10: calculated total energy -36.17 eV/f.u., Fermi-level density of states 9.3 states/eV/f.u.. Number 11: calculated total energy -18.66 eV/f.u., Fermi-level density of states 3.1 states/eV/f.u..